[1]
A relaxed Rb2ZrI4Br2 crystal, computed with GGA-PBE.

Properties
**V**: 43.10 Å³/atom
**N(E_F)**: 0.0 states/eV/f.u.
**Uncorrected energy**: -3.559 eV per atom

a b c (Å): 8.4068 8.1093 8.1093
angles (deg): 61.85 58.71 58.71
Element x y z (fractional)
1 Br 0.2114 0.2345 0.2345
2 Br 0.7886 0.7655 0.7655
3 Rb 0.7747 0.2472 0.2472
4 Rb 0.2253 0.7528 0.7528
5 I 0.7100 0.7856 0.2763
6 I 0.7100 0.2763 0.7856
7 I 0.2900 0.7237 0.2144
8 I 0.2900 0.2144 0.7237
9 Zr 0.5000 0.0000 0.0000

---

[2]
A relaxed Rb2ZrIBr5 crystal, computed with GGA-PBE.

Properties
**V**: 38.48 Å³/atom
**N(E_F)**: 0.0 states/eV/f.u.
**Uncorrected energy**: -3.802 eV per atom

a b c (Å): 7.9074 7.9074 7.9074
angles (deg): 88.94 120.62 120.62
Element x y z (fractional)
1 Br 0.0000 0.2399 0.2399
2 Br 0.5223 0.7613 0.7613
3 Br 0.0000 0.2390 0.7613
4 Br 0.0000 0.7613 0.2390
5 Br 0.4777 0.2390 0.2390
6 I 0.0000 0.7471 0.7471
7 Rb 0.5000 0.2536 0.7536
8 Rb 0.5000 0.7536 0.2536
9 Zr 0.0000 0.0051 0.0051

---

[3]
A relaxed ReI2Br crystal, computed with GGA-PBE.

Properties
**V**: 34.81 Å³/atom
**N(E_F)**: 2.0 states/eV/f.u.
**Uncorrected energy**: -3.646 eV per atom

a b c (Å): 7.5987 7.5987 7.2206
angles (deg): 58.25 58.25 90.00
Element x y z (fractional)
1 Re 0.0000 0.0000 0.0000
2 Re 0.7500 0.2500 0.5000
3 I 0.7118 0.1250 0.2500
4 I 0.3750 0.2882 0.7500
5 I 0.0382 0.6250 0.2500
6 I 0.8750 0.9618 0.7500
7 Br 0.2500 0.7500 0.5000
8 Br 0.5000 0.5000 0.0000

---

[4]
A relaxed Re2IBr8 crystal, computed with GGA-PBE.

Properties
**V**: 38.46 Å³/atom
**N(E_F)**: 7.7 states/eV/f.u.
**Uncorrected energy**: -3.744 eV per atom

a b c (Å): 7.2491 7.2491 8.6105
angles (deg): 92.41 92.41 110.37
Each line ends with the local moment (μB).
Element x y z (fractional)
1 Br 0.3059 0.8952 0.6977  0.06
2 Br 0.1872 0.1872 0.4185  0.01
3 Br 0.5984 0.5984 0.2039  0.13
4 Br 0.8952 0.3059 0.6977  0.06
5 Br 0.6941 0.1048 0.3023  0.06
6 Br 0.8128 0.8128 0.5815  0.01
7 Br 0.4016 0.4016 0.7961  0.13
8 Br 0.1048 0.6941 0.3023  0.06
9 I 0.0000 0.0000 0.0000  0.08
10 Re 0.8802 0.8802 0.2992  1.78
11 Re 0.1198 0.1198 0.7008  1.78

---

[5]
A relaxed ReIBr crystal, computed with GGA-PBE.

Properties
**V**: 38.04 Å³/atom
**N(E_F)**: 1.3 states/eV/f.u.
**Uncorrected energy**: -5.161 eV per atom

a b c (Å): 3.6339 8.7705 8.0389
angles (deg): 84.36 77.36 65.94
Element x y z (fractional)
1 I 0.3706 0.6991 0.7095
2 I 0.4175 0.2018 0.6236
3 Br 0.7532 0.1142 0.1083
4 Br 0.1815 0.6065 0.2552
5 Re 0.8643 0.8959 0.3221
6 Re 0.2148 0.9562 0.5084

---

[6]
A relaxed Re2I4Br3 crystal, computed with GGA-PBE.

Properties
**V**: 48.34 Å³/atom
**N(E_F)**: 3.9 states/eV/f.u.
**Uncorrected energy**: -4.009 eV per atom

a b c (Å): 9.3943 11.0056 11.0056
angles (deg): 61.81 64.74 64.74
Element x y z (fractional)
1 I 0.9139 0.4222 0.8151
2 I 0.8491 0.8161 0.4202
3 I 0.5861 0.1849 0.5778
4 I 0.3491 0.4202 0.8161
5 I 0.1509 0.1839 0.5798
6 I 0.4139 0.8151 0.4222
7 I 0.0861 0.5778 0.1849
8 I 0.6509 0.5798 0.1839
9 Br 0.0391 0.2012 0.2173
10 Br 0.5391 0.2173 0.2012
11 Br 0.2500 0.6477 0.3523
12 Br 0.7500 0.3523 0.6477
13 Br 0.9609 0.7988 0.7827
14 Br 0.4609 0.7827 0.7988
15 Re 0.5399 0.8791 0.5419
16 Re 0.4601 0.1209 0.4581
17 Re 0.9601 0.4581 0.1209
18 Re 0.0399 0.5419 0.8791

---

[7]
A relaxed ReI2Br3 crystal, computed with GGA-PBE.

Properties
**V**: 35.67 Å³/atom
**N(E_F)**: 5.9 states/eV/f.u.
**Uncorrected energy**: -3.157 eV per atom

a b c (Å): 8.2077 8.2077 8.2077
angles (deg): 155.74 107.45 77.79
Element x y z (fractional)
1 Br 0.8618 0.8618 0.0000
2 Br 0.4003 0.0548 0.3456
3 Br 0.7092 0.0548 0.6544
4 I 0.5089 0.2853 0.2236
5 I 0.0618 0.2853 0.7764
6 Re 0.7151 0.2151 0.5000

---

[8]
A relaxed ReIBr crystal, computed with GGA-PBE.

Properties
**V**: 33.19 Å³/atom
**N(E_F)**: 1.8 states/eV/f.u.
**Uncorrected energy**: -4.715 eV per atom

a b c (Å): 7.4142 7.4142 6.2745
angles (deg): 90.00 90.00 120.00
Each line ends with the local moment (μB).
Element x y z (fractional)
1 I 0.4097 0.4280 0.0428  0.04
2 I 0.0183 0.5903 0.3761  0.04
3 I 0.5720 0.9817 0.7095  0.04
4 Br 0.0405 0.7721 0.8850  0.02
5 Br 0.7316 0.9595 0.2184  0.02
6 Br 0.2279 0.2684 0.5517  0.02
7 Re 0.4394 0.6443 0.4055  0.67
8 Re 0.2049 0.5606 0.7388  0.67
9 Re 0.3557 0.7951 0.0722  0.67

---

[9]
A relaxed ReI3Br crystal, computed with GGA-PBE.

Properties
**V**: 31.92 Å³/atom
**N(E_F)**: 6.6 states/eV/f.u.
**Uncorrected energy**: -3.190 eV per atom

a b c (Å): 5.4245 5.4245 5.4245
angles (deg): 90.00 90.00 90.00
Each line ends with the local moment (μB).
Element x y z (fractional)
1 Br 0.5000 0.5000 0.5000  -0.07
2 I 0.0000 0.0000 0.5000  0.02
3 I 0.5000 0.0000 0.0000  0.07
4 I 0.0000 0.5000 0.0000  0.04
5 Re 0.0000 0.0000 0.0000  1.08

---

[10]
A relaxed Re2I5Br4 crystal, computed with GGA-PBE.

Properties
**V**: 47.94 Å³/atom
**N(E_F)**: 3.9 states/eV/f.u.
**Uncorrected energy**: -3.673 eV per atom

a b c (Å): 7.7843 9.7985 9.6803
angles (deg): 115.93 52.70 107.85
Element x y z (fractional)
1 Br 0.6166 0.8667 0.4866
2 Br 0.3785 0.8809 0.1291
3 Br 0.3834 0.1333 0.5134
4 Br 0.6215 0.1191 0.8709
5 I 0.0000 0.5000 0.0000
6 I 0.0130 0.1322 0.2510
7 I 0.0168 0.3703 0.6526
8 I 0.9870 0.8678 0.7490
9 I 0.9832 0.6297 0.3474
10 Re 0.0008 0.0698 0.6296
11 Re 0.9992 0.9302 0.3704

---

[11]
A relaxed ReI2Br2 crystal, computed with GGA-PBE.

Properties
**V**: 33.99 Å³/atom
**Uncorrected energy**: -3.883 eV per atom

a b c (Å): 7.1643 7.8255 7.8255
angles (deg): 68.46 62.77 62.77
Each line ends with the local moment (μB).
Element x y z (fractional)
1 Br 0.2737 0.7201 0.2799  0.06
2 Br 0.2737 0.2799 0.7201  0.06
3 Br 0.7263 0.2799 0.7201  0.06
4 Br 0.7263 0.7201 0.2799  0.06
5 Re 0.6928 0.0000 0.0000  0.71
6 Re 0.3072 0.0000 0.0000  0.71
7 I 0.1679 0.8320 0.8320  -0.01
8 I 0.7123 0.7876 0.7876  0.02
9 I 0.8321 0.1680 0.1680  -0.01
10 I 0.2877 0.2124 0.2124  0.02

---

[12]
A relaxed ReI2Br crystal, computed with GGA-PBE.

Properties
**V**: 23.62 Å³/atom
**N(E_F)**: 4.4 states/eV/f.u.
**Uncorrected energy**: -2.999 eV per atom

a b c (Å): 5.1122 5.1122 5.1122
angles (deg): 60.00 60.00 60.00
Each line ends with the local moment (μB).
Element x y z (fractional)
1 Br 0.0000 0.0000 0.0000  0.05
2 I 0.2500 0.2500 0.2500  -0.04
3 I 0.7500 0.7500 0.7500  -0.04
4 Re 0.5000 0.5000 0.5000  1.27

---

[13]
A relaxed ReI3Br crystal, computed with GGA-PBE.

Properties
**V**: 42.13 Å³/atom
**N(E_F)**: 1.3 states/eV/f.u.
**Uncorrected energy**: -2.268 eV per atom

a b c (Å): 5.9500 5.9500 5.9500
angles (deg): 90.00 90.00 90.00
Each line ends with the local moment (μB).
Element x y z (fractional)
1 I 0.0000 0.0000 0.5000  0.07
2 I 0.5000 0.0000 0.0000  0.05
3 I 0.0000 0.5000 0.0000  0.10
4 Br 0.0000 0.0000 0.0000  0.00
5 Re 0.5000 0.5000 0.5000  4.48

---

[14]
A relaxed Re2I3Br4 crystal, computed with GGA-PBE.

Properties
**V**: 39.54 Å³/atom
**N(E_F)**: 2.6 states/eV/f.u.
**Uncorrected energy**: -3.988 eV per atom

a b c (Å): 10.4717 11.0108 11.0126
angles (deg): 55.77 49.48 49.47
Each line ends with the local moment (μB).
Element x y z (fractional)
1 Br 0.3949 0.9918 0.3925  0.04
2 Br 0.1050 0.6075 0.0082  0.04
3 Br 0.4985 0.3078 0.2142  0.05
4 Br 0.6051 0.0082 0.6075  0.04
5 Br 0.5015 0.6922 0.7858  0.05
6 Br 0.8950 0.3925 0.9917  0.04
7 Br 0.0013 0.7859 0.6923  0.05
8 Br 0.9987 0.2141 0.3077  0.05
9 I 0.5670 0.7628 0.1341  0.06
10 I 0.0670 0.1340 0.7628  0.06
11 I 0.7501 0.5550 0.4449  0.00
12 I 0.2500 0.4450 0.5551  0.00
13 I 0.4330 0.2372 0.8659  0.06
14 I 0.9330 0.8659 0.2372  0.06
15 Re 0.1237 0.4993 0.8478  1.08
16 Re 0.3762 0.1522 0.5008  1.08
17 Re 0.6238 0.8478 0.4992  1.08
18 Re 0.8763 0.5008 0.1522  1.08

---

[15]
A relaxed ReI3Br crystal, computed with GGA-PBE.

Properties
**V**: 36.06 Å³/atom
**N(E_F)**: 0.9 states/eV/f.u.
**Uncorrected energy**: -3.694 eV per atom

a b c (Å): 7.0358 9.8897 10.8054
angles (deg): 106.43 90.00 90.00
Each line ends with the local moment (μB).
Element x y z (fractional)
1 Br 0.1262 0.0017 0.8392  0.00
2 Br 0.6262 0.4983 0.6608  0.00
3 Br 0.8738 0.9983 0.1608  0.00
4 Br 0.3738 0.5017 0.3392  0.00
5 Re 0.9897 0.0496 0.6332  -0.68
6 Re 0.4897 0.4504 0.8668  -0.68
7 Re 0.0103 0.9504 0.3668  -0.68
8 Re 0.5103 0.5496 0.1332  -0.68
9 I 0.6892 0.9086 0.6762  -0.07
10 I 0.6906 0.7780 0.3471  -0.04
11 I 0.3108 0.0914 0.3238  -0.07
12 I 0.3203 0.3158 0.0176  -0.04
13 I 0.6797 0.6842 0.9824  -0.04
14 I 0.8203 0.1842 0.4824  -0.04
15 I 0.8108 0.4086 0.1762  -0.07
16 I 0.1892 0.5914 0.8238  -0.07
17 I 0.1906 0.7220 0.1529  -0.04
18 I 0.8094 0.2780 0.8471  -0.04
19 I 0.1797 0.8158 0.5176  -0.04
20 I 0.3094 0.2220 0.6529  -0.04

---

[16]
A relaxed ReSbI2Br crystal, computed with GGA-PBE.

Properties
**V**: 30.98 Å³/atom
**N(E_F)**: 5.7 states/eV/f.u.
**Uncorrected energy**: -3.706 eV per atom

a b c (Å): 5.4412 5.4412 5.2313
angles (deg): 90.00 90.00 90.00
Element x y z (fractional)
1 I 0.0000 0.5000 0.0000
2 I 0.5000 0.0000 0.0000
3 Sb 0.0000 0.0000 0.5000
4 Br 0.5000 0.5000 0.5000
5 Re 0.0000 0.0000 0.0000

---

[17]
A relaxed ReSbI2Br crystal, computed with GGA-PBE.

Properties
**V**: 38.41 Å³/atom
**N(E_F)**: 2.0 states/eV/f.u.
**Uncorrected energy**: -2.542 eV per atom

a b c (Å): 5.7259 5.7259 5.8581
angles (deg): 90.00 90.00 90.00
Each line ends with the local moment (μB).
Element x y z (fractional)
1 I 0.0000 0.5000 0.0000  0.03
2 I 0.5000 0.0000 0.0000  0.03
3 Sb 0.0000 0.0000 0.5000  -0.25
4 Re 0.5000 0.5000 0.5000  4.18
5 Br 0.0000 0.0000 0.0000  0.00

---

[18]
A relaxed TaRe2IBr crystal, computed with GGA-PBE.

Properties
**V**: 21.00 Å³/atom
**N(E_F)**: 5.7 states/eV/f.u.
**Uncorrected energy**: -5.635 eV per atom

a b c (Å): 4.6766 4.8007 4.6766
angles (deg): 90.00 90.00 90.00
Each line ends with the local moment (μB).
Element x y z (fractional)
1 I 0.5000 0.5000 0.5000  0.02
2 Ta 0.0000 0.5000 0.0000  -0.04
3 Br 0.0000 0.0000 0.0000  0.00
4 Re 0.5000 0.0000 0.0000  0.58
5 Re 0.0000 0.0000 0.5000  0.47

---

[19]
A relaxed ReTeI2Br crystal, computed with GGA-PBE.

Properties
**V**: 31.23 Å³/atom
**N(E_F)**: 4.7 states/eV/f.u.
**Uncorrected energy**: -3.536 eV per atom

a b c (Å): 5.5113 5.5113 5.1409
angles (deg): 90.00 90.00 90.00
Element x y z (fractional)
1 Re 0.0000 0.0000 0.0000
2 Te 0.0000 0.0000 0.5000
3 I 0.0000 0.5000 0.0000
4 I 0.5000 0.0000 0.0000
5 Br 0.5000 0.5000 0.5000

---

[20]
A relaxed ReTeI2Br crystal, computed with GGA-PBE.

Properties
**V**: 34.92 Å³/atom
**N(E_F)**: 2.3 states/eV/f.u.
**Uncorrected energy**: -2.385 eV per atom

a b c (Å): 5.5324 5.5324 5.7052
angles (deg): 90.00 90.00 90.00
Each line ends with the local moment (μB).
Element x y z (fractional)
1 Br 0.0000 0.0000 0.0000  -0.06
2 I 0.0000 0.5000 0.0000  0.06
3 I 0.5000 0.0000 0.0000  0.06
4 Te 0.0000 0.0000 0.5000  -0.22
5 Re 0.5000 0.5000 0.5000  4.25

---

[21]
A relaxed Tl2ReI2Br4 crystal, computed with GGA-PBE.

Properties
**V**: 35.80 Å³/atom
**Uncorrected energy**: -3.460 eV per atom

a b c (Å): 7.6422 7.7065 7.7065
angles (deg): 58.37 61.18 61.18
Each line ends with the local moment (μB).
Element x y z (fractional)
1 Tl 0.7053 0.2512 0.2512  0.02
2 Tl 0.2947 0.7488 0.7488  0.02
3 Re 0.5000 0.0000 0.0000  2.19
4 Br 0.3032 0.7286 0.2032  0.05
5 Br 0.3032 0.2032 0.7286  0.05
6 Br 0.6968 0.2714 0.7968  0.05
7 Br 0.6968 0.7968 0.2714  0.05
8 I 0.8080 0.7606 0.7606  0.03
9 I 0.1920 0.2394 0.2394  0.03

---

[22]
A relaxed Rh3IBr crystal, computed with GGA-PBE.

Properties
**V**: 21.03 Å³/atom
**N(E_F)**: 7.3 states/eV/f.u.
**Uncorrected energy**: -4.026 eV per atom

a b c (Å): 4.7202 4.7202 4.7202
angles (deg): 90.00 90.00 90.00
Element x y z (fractional)
1 Rh 0.0000 0.5000 0.0000
2 Rh 0.5000 0.0000 0.0000
3 Rh 0.0000 0.0000 0.5000
4 I 0.5000 0.5000 0.5000
5 Br 0.0000 0.0000 0.0000

---

[23]
A relaxed Rh2IBr crystal, computed with GGA-PBE.

Properties
**V**: 18.67 Å³/atom
**N(E_F)**: 0.8 states/eV/f.u.
**Uncorrected energy**: -3.890 eV per atom

a b c (Å): 4.7270 4.7270 4.7270
angles (deg): 60.00 60.00 60.00
Element x y z (fractional)
1 Rh 0.2500 0.2500 0.2500
2 Rh 0.7500 0.7500 0.7500
3 Br 0.0000 0.0000 0.0000
4 I 0.5000 0.5000 0.5000

---

[24]
A relaxed Rh2IBr crystal, computed with GGA-PBE.

Properties
**V**: 25.17 Å³/atom
**N(E_F)**: 4.1 states/eV/f.u.
**Uncorrected energy**: -4.028 eV per atom

a b c (Å): 6.2243 6.2243 6.8112
angles (deg): 62.81 62.81 90.00
Element x y z (fractional)
1 I 0.7500 0.2500 0.5000
2 I 0.0000 0.0000 0.0000
3 Rh 0.3750 0.3741 0.7500
4 Rh 0.6259 0.1250 0.2500
5 Rh 0.8750 0.8759 0.7500
6 Rh 0.1241 0.6250 0.2500
7 Br 0.2500 0.7500 0.5000
8 Br 0.5000 0.5000 0.0000